# In, optimized geometry, DFT PBEsol
data_In
_chemical_formula_sum 'In2'
_cell_length_a 4.3779
_cell_length_b 4.6085
_cell_length_c 3.3186
_cell_angle_alpha 90.00
_cell_angle_beta 130.98
_cell_angle_gamma 90.00
_symmetry_space_group_name_H-M 'C 1 2/m 1'
_symmetry_Int_Tables_number 12
_symmetry_space_group_name_Hall '-C 2y'
loop_
_atom_site_label
_atom_site_fract_x
_atom_site_fract_y
_atom_site_fract_z
_atom_site_occupancy
In1 0.0000 0.0000 0.0000 1
# calculated formation energy	0.000	eV/atom
# polymorph energy (0 for the lowest one)	0.0	kJ per mole of atoms


# Ba2BiSb, optimized geometry, DFT PBEsol
data_Ba2BiSb
_chemical_formula_sum 'Ba8 Bi4 Sb4'
_cell_length_a 9.3407
_cell_length_b 9.3407
_cell_length_c 7.0332
_cell_angle_alpha 90.00
_cell_angle_beta 90.00
_cell_angle_gamma 90.00
_symmetry_space_group_name_H-M 'I -4 2 d'
_symmetry_Int_Tables_number 122
_symmetry_space_group_name_Hall 'I -4 2bw'
loop_
_atom_site_label
_atom_site_fract_x
_atom_site_fract_y
_atom_site_fract_z
_atom_site_occupancy
Ba1 0.2420 0.7500 0.1250 1
Bi1 0.0000 0.0000 0.5000 1
Sb1 0.0000 0.0000 0.0000 1
# polymorph energy (0 for the lowest one)	11.5	kJ per mole of atoms
# formation energy (no corrections)	-64.47	kJ/mol of atoms


# KCu2Ag, optimized geometry, DFT PBEsol
data_KCu2Ag
_chemical_formula_sum 'K1 Cu2 Ag1'
_cell_length_a 2.8941
_cell_length_b 3.3621
_cell_length_c 7.7024
_cell_angle_alpha 90.00
_cell_angle_beta 90.00
_cell_angle_gamma 90.00
_symmetry_space_group_name_H-M 'P m m 2'
_symmetry_Int_Tables_number 25
_symmetry_space_group_name_Hall 'P 2 -2'
loop_
_atom_site_label
_atom_site_fract_x
_atom_site_fract_y
_atom_site_fract_z
_atom_site_occupancy
K1 0.0000 0.0000 0.0000 1
Cu1 0.0000 0.0000 0.5433 1
Cu2 0.5000 0.5000 0.6807 1
Ag1 0.5000 0.5000 0.3422 1
# calculated formation energy	0.345	eV/atom


no.,total DFT energy (no corrections) (eV/atom)
1,-2.983
2,-3.953
3,-2.933